Density functional theory data (meta-GGA SCAN) for a PBEsol-optimized structure of In2FeSi.

Cell: 2.987 5.100 4.977 Å, 99.46 90.00 107.03°
Sites, in units of the cell vectors:
Fe 0.500 0.000 0.000
In 0.766 0.531 0.760
In 0.234 0.469 0.240
Si 0.000 0.000 0.500

Properties
total magnetic moment	2.72	μB per cell
space group	No. 12
energy relative to the elements, uncorrected	0.5401	eV/atom
electronic total energy	-23.189	eV/atom